# SrCuNi2 GGA-PBEsol optimized geometry
data_SrCuNi2
_chemical_formula_sum 'Sr2 Cu2 Ni4'
_cell_length_a 7.014
_cell_length_b 4.049
_cell_length_c 5.565
_cell_angle_alpha 90.00
_cell_angle_beta 114.74
_cell_angle_gamma 90.00
_space_group_name_H-M_alt 'C 1 m 1'
_space_group_IT_number 8
loop_
_space_group_symop_operation_xyz
'x,y,z'
'x,-y,z'
'x+1/2,y+1/2,z'
'x+1/2,-y+1/2,z'
loop_
_atom_site_label
_atom_site_type_symbol
_atom_site_fract_x
_atom_site_fract_y
_atom_site_fract_z
Sr1 Sr 0.000 0.000 0.000
Cu1 Cu 0.189 0.000 0.567
Ni1 Ni 0.312 0.500 0.437
Ni2 Ni 0.493 0.000 0.480
# E above lowest polymorph = 0 meV/atom
# calculated total energy = -4.650 eV/atom
# crystal system = monoclinic
# ΔE_f = -0.03 eV per atom



# ZrZnCr2 GGA-PBEsol optimized geometry
data_ZrZnCr2
_chemical_formula_sum 'Zr1 Zn1 Cr2'
_cell_length_a 2.572
_cell_length_b 4.261
_cell_length_c 5.269
_cell_angle_alpha 90.00
_cell_angle_beta 99.20
_cell_angle_gamma 90.00
_space_group_name_H-M_alt 'P 1 2/m 1'
_space_group_IT_number 10
loop_
_space_group_symop_operation_xyz
'x,y,z'
'-x,-y,-z'
'-x,y,-z'
'x,-y,z'
loop_
_atom_site_label
_atom_site_type_symbol
_atom_site_fract_x
_atom_site_fract_y
_atom_site_fract_z
Zr1 Zr 0.000 0.000 0.000
Zn1 Zn 0.500 0.000 0.500
Cr1 Cr 0.201 0.500 0.710
# calculated total energy = -7.417 eV/atom
# crystal system = monoclinic
# ΔE_f = 0.37 eV per atom